# GGA-PBE PmDy3Y8, relaxed
data_PmDy3Y8
_chemical_formula_sum 'Pm1 Dy3 Y8'
_symmetry_space_group_name_H-M 'P 1'
_symmetry_Int_Tables_number 1
_cell_length_a 8.393
_cell_length_b 8.393
_cell_length_c 8.393
_cell_angle_alpha 94.30
_cell_angle_beta 117.55
_cell_angle_gamma 117.55
loop_
_symmetry_equiv_pos_as_xyz
'x,y,z'
loop_
_atom_site_label
_atom_site_fract_x
_atom_site_fract_y
_atom_site_fract_z
Pm1 0.000 0.000 0.000
Dy1 0.500 0.750 0.250
Dy2 0.500 0.250 0.750
Dy3 0.000 0.500 0.500
Y1 0.509 0.263 0.263
Y2 0.491 0.754 0.754
Y3 0.000 0.737 0.246
Y4 0.000 0.246 0.737
Y5 0.253 0.380 0.380
Y6 0.747 0.127 0.127
Y7 0.000 0.620 0.873
Y8 0.000 0.873 0.620
# Fermi-level density of states ... 19.7 states/eV per cell
# Space-group type ... I-42m
# Energy of formation ... 662 meV per atom

---

# GGA-PBE KEuBi2, relaxed
data_KEuBi2
_chemical_formula_sum 'K1 Eu1 Bi2'
_symmetry_space_group_name_H-M 'P 1'
_symmetry_Int_Tables_number 1
_cell_length_a 5.820
_cell_length_b 5.820
_cell_length_c 5.820
_cell_angle_alpha 60.00
_cell_angle_beta 60.00
_cell_angle_gamma 60.00
loop_
_symmetry_equiv_pos_as_xyz
'x,y,z'
loop_
_atom_site_label
_atom_site_fract_x
_atom_site_fract_y
_atom_site_fract_z
Eu1 0.000 0.000 0.000
K1 0.500 0.500 0.500
Bi1 0.250 0.250 0.250
Bi2 0.750 0.750 0.750
# Fermi-level density of states ... 7.1 states/eV per cell
# Energy relative to the lowest polymorph listed for this composition ... 145 meV per atom
# Space-group type ... Fm-3m
# Energy of formation ... -431 meV per atom